1.
# Na2CdAgCl5 | Alexandria via LeMat-Bulk | PBE | relaxed
# formation energy from raw total energies = -1240 meV/atom
data_Na2CdAgCl5
_symmetry_space_group_name_H-M 'C m c 21'
_symmetry_Int_Tables_number 36
_cell_length_a 3.978
_cell_length_b 16.439
_cell_length_c 14.047
_cell_angle_alpha 90.00
_cell_angle_beta 90.00
_cell_angle_gamma 90.00
loop_
_symmetry_equiv_pos_as_xyz
'x,y,z'
'-x,-y,z+1/2'
'-x,y,z'
'x,-y,z+1/2'
'x+1/2,y+1/2,z'
'-x+1/2,-y+1/2,z+1/2'
'-x+1/2,y+1/2,z'
'x+1/2,-y+1/2,z+1/2'
loop_
_atom_site_label
_atom_site_fract_x
_atom_site_fract_y
_atom_site_fract_z
Na1 0.000 0.071 0.000
Na2 0.000 0.142 0.598
Cd1 0.000 0.245 0.365
Ag1 0.000 0.450 0.771
Cl1 0.000 0.088 0.389
Cl2 0.000 0.251 0.006
Cl3 0.000 0.269 0.739
Cl4 0.000 0.399 0.369
Cl5 0.000 0.485 0.109

***

2.
# NaCd2AgCl | Alexandria via LeMat-Bulk | PBE | relaxed
# formation energy from raw total energies = 13 meV/atom
data_NaCd2AgCl
_symmetry_space_group_name_H-M 'P 4/m m m'
_symmetry_Int_Tables_number 123
_symmetry_space_group_name_Hall '-P 4 2'
_cell_length_a 5.779
_cell_length_b 5.779
_cell_length_c 4.902
_cell_angle_alpha 90.00
_cell_angle_beta 90.00
_cell_angle_gamma 90.00
loop_
_atom_site_label
_atom_site_fract_x
_atom_site_fract_y
_atom_site_fract_z
Na1 0.000 0.000 0.000
Cd1 0.000 0.500 0.500
Ag1 0.500 0.500 0.000
Cl1 0.000 0.000 0.500

***

Which value of formation energy from raw total energies does entry 2 give?
13 meV/atom